# 1
Here is an optimized crystal structure of K2BaScGa from Alexandria. Energies are from PBE-GGA.

Lattice parameters (Å, degrees): 6.7481 6.7481 6.6253 90.00 90.00 90.00
Closest atoms and distances in Å follow each position.
Atoms (fractional coordinates):
K1 0.0000 0.5000 0.0000  2 Sc 3.37
K2 0.5000 0.0000 0.0000  2 Sc 3.37
Ba1 0.0000 0.0000 0.5000  2 Sc 3.31
Sc1 0.0000 0.0000 0.0000  2 Ba 3.31, 4 K 3.37
Ga1 0.5000 0.5000 0.5000  8 K 4.73, 4 Ba 4.77

Values from the calculation:
- Theoretical density: 1.817 g/cm3



# 2
Here is an optimized crystal structure of KBaScGa2 from Alexandria. Energies are from PBE-GGA.

Lattice parameters (Å, degrees): 6.0179 6.0179 5.7804 90.00 90.00 90.00
Closest atoms and distances in Å follow each position.
Atoms (fractional coordinates):
K1 0.0000 0.0000 0.0000  8 Ga 4.17, 4 Sc 4.26
Ba1 0.5000 0.5000 0.5000  2 Sc 2.89, 4 Ga 3.01
Sc1 0.5000 0.5000 0.0000  2 Ba 2.89
Ga1 0.0000 0.5000 0.5000  2 Ba 3.01
Ga2 0.5000 0.0000 0.5000  2 Ba 3.01

Values from the calculation:
- Theoretical density: 2.862 g/cm3



# 3
Here is an optimized crystal structure of KBaTlGa2 from Alexandria. Energies are from PBE-GGA.

Lattice parameters (Å, degrees): 5.7257 5.7257 6.3970 90.00 90.00 90.00
Closest atoms and distances in Å follow each position.
Atoms (fractional coordinates):
K1 0.0000 0.0000 0.0000  4 Ga 2.86, 2 Ba 3.20
Ba1 0.0000 0.0000 0.5000  2 K 3.20
Tl1 0.5000 0.5000 0.5000  4 Ba 4.05, 8 Ga 4.29
Ga1 0.0000 0.5000 0.0000  2 K 2.86
Ga2 0.5000 0.0000 0.0000  2 K 2.86

Values from the calculation:
- Theoretical density: 4.119 g/cm3



# 4
Here is an optimized crystal structure of KBaVGa2 from Alexandria. Energies are from PBE-GGA.

Lattice parameters (Å, degrees): 6.0373 6.0373 5.2434 90.00 90.00 90.00
Closest atoms and distances in Å follow each position.
Atoms (fractional coordinates):
K1 0.0000 0.0000 0.0000  8 Ga 4.00, 4 V 4.27
Ba1 0.5000 0.5000 0.5000  2 V 2.62
V1 0.5000 0.5000 0.0000  2 Ba 2.62
Ga1 0.0000 0.5000 0.5000  2 Ba 3.02
Ga2 0.5000 0.0000 0.5000  2 Ba 3.02

Values from the calculation:
- Theoretical density: 3.187 g/cm3



# 5
Here is an optimized crystal structure of KBaZr2Ga from Alexandria. Energies are from PBE-GGA.

Lattice parameters (Å, degrees): 5.3160 5.3160 6.4852 90.00 90.00 90.00
Closest atoms and distances in Å follow each position.
Atoms (fractional coordinates):
K1 0.0000 0.0000 0.0000  4 Ba 3.76, 8 Zr 4.19
Ba1 0.5000 0.5000 0.0000  2 Ga 3.24
Zr1 0.0000 0.5000 0.5000  2 Ga 2.66
Zr2 0.5000 0.0000 0.5000  2 Ga 2.66
Ga1 0.5000 0.5000 0.5000  4 Zr 2.66

Values from the calculation:
- Theoretical density: 3.883 g/cm3



# 6
Here is an optimized crystal structure of BaLaGa from Alexandria. Energies are from PBE-GGA.

Lattice parameters (Å, degrees): 4.2953 4.5393 12.2748 100.58 90.01 90.00
Closest atoms and distances in Å follow each position.
Atoms (fractional coordinates):
Ba1 0.2494 0.3202 0.1385  1 Ga 3.55
Ba2 0.7506 0.6798 0.8615  1 Ga 3.55
La1 0.2503 0.0648 0.6300  6 Ga 3.21-3.29
La2 0.7497 0.9352 0.3700  6 Ga 3.21-3.29
Ga1 0.2499 0.4663 0.4330  2 Ga 2.69
Ga2 0.7501 0.5337 0.5671  2 Ga 2.69

Values from the calculation:
- Theoretical density: 4.884 g/cm3



# 7
Here is an optimized crystal structure of BaLa2Ga from Alexandria. Energies are from PBE-GGA.

Lattice parameters (Å, degrees): 3.8534 3.8534 10.1045 90.00 90.00 90.00
Closest atoms and distances in Å follow each position.
Atoms (fractional coordinates):
Ba1 0.0000 0.0000 0.0000  4 Ba 3.85, 8 La 4.30
La1 0.5000 0.5000 0.3295  4 Ga 3.22, 1 La 3.44
La2 0.5000 0.5000 0.6705  4 Ga 3.22, 1 La 3.44
Ga1 0.0000 0.0000 0.5000  8 La 3.22

Values from the calculation:
- Theoretical density: 5.366 g/cm3



# 8
Here is an optimized crystal structure of BaLa2Ga from Alexandria. Energies are from PBE-GGA.

Lattice parameters (Å, degrees): 9.1853 9.1853 13.4768 90.00 90.00 90.00
Closest atoms and distances in Å follow each position.
Atoms (fractional coordinates):
Ba1 0.0000 0.0000 0.0000  4 La 4.97
Ba2 0.0000 0.5000 0.2500  4 La 4.97
Ba3 0.5000 0.0000 0.7500  4 La 4.97
Ba4 0.5000 0.5000 0.5000  4 La 4.97
La1 0.0570 0.2500 0.6250  2 Ga 2.90
La2 0.2500 0.5570 0.8750  2 Ga 2.90
La3 0.2500 0.9430 0.3750  2 Ga 2.90
La4 0.4430 0.2500 0.1250  2 Ga 2.90
La5 0.5570 0.7500 0.1250  2 Ga 2.90
La6 0.7500 0.0570 0.3750  2 Ga 2.90
La7 0.7500 0.4430 0.8750  2 Ga 2.90
La8 0.9430 0.7500 0.6250  2 Ga 2.90
Ga1 0.0000 0.0000 0.5000  4 La 2.90
Ga2 0.0000 0.5000 0.7500  4 La 2.90
Ga3 0.5000 0.0000 0.2500  4 La 2.90
Ga4 0.5000 0.5000 0.0000  4 La 2.90

Values from the calculation:
- Theoretical density: 2.832 g/cm3



| no. | E_tot (eV/atom) |
| --- | --- |
| 1 | -1.79 |
| 2 | -2.26 |
| 3 | -1.61 |
| 4 | -2.36 |
| 5 | -4.02 |
| 6 | -3.63 |
| 7 | -3.90 |
| 8 | -3.11 |